1.
A plane-wave DFT calculation with GGA-PBE was carried out for an optimized crystal structure of Zn3Rh13.

For the total energy, the calculation gives -6.2923 eV per atom. The formation enthalpy at 0 K is -0.080 eV per atom.

a b c (Å): 5.4667 8.7791 9.4460
angles (deg): 90.00 90.00 90.00
Space group Amm2 (No. 38)
Asymmetric unit:
Zn: 0.0000 0.0000 0.0000 x2
Zn: 0.2523 0.0000 0.7439 x4
Rh: 0.0000 0.0000 0.4929 x2
Rh: 0.0000 0.2476 0.6615 x4
Rh: 0.2501 0.2482 0.9121 x8
Rh: 0.2517 0.0000 0.2458 x4
Rh: 0.5000 0.0000 0.4967 x2
Rh: 0.5000 0.0000 0.9986 x2
Rh: 0.5000 0.2493 0.1608 x4

2.
A plane-wave DFT calculation with GGA-PBE was carried out for an optimized crystal structure of ZnRh.

For the total energy, the calculation gives -4.3893 eV per atom. The formation enthalpy at 0 K is -0.077 eV per atom.

a b c (Å): 7.7168 7.7168 4.3186
angles (deg): 90.00 90.00 90.00
Space group I4/mmm (No. 139)
Asymmetric unit:
Zn: 0.0000 0.2684 0.0000 x8
Rh: 0.1715 0.1715 0.5000 x8

3.
A plane-wave DFT calculation with GGA-PBE was carried out for an optimized crystal structure of Zn2Rh.

For the total energy, the calculation gives -3.6884 eV per atom. The formation enthalpy at 0 K is -0.389 eV per atom.

a b c (Å): 3.0323 13.1755 4.1927
angles (deg): 90.00 90.00 90.00
Space group Cmcm (No. 63)
Asymmetric unit:
Zn: 0.0000 0.0639 0.2500 x4
Zn: 0.0000 0.2674 0.7500 x4
Rh: 0.0000 0.3972 0.2500 x4

4.
A plane-wave DFT calculation with GGA-PBE was carried out for an optimized crystal structure of Zn5Rh4.

For the total energy, the calculation gives -4.2865 eV per atom. The formation enthalpy at 0 K is -0.311 eV per atom. For the relative energy among the computed polymorphs, the calculation gives 0 meV/atom.

a b c (Å): 7.5067 7.5067 5.2120
angles (deg): 90.00 90.00 120.00
Space group P6_3/mcm (No. 193)
Asymmetric unit:
Zn: 0.0000 0.3054 0.2500 x6
Zn: 0.3333 0.6667 0.0000 x4
Rh: 0.0000 0.0000 0.0000 x2
Rh: 0.0000 0.3604 0.7500 x6